DFT (PBE) results for a relaxed BiAsNF2 crystal.

Magnetization = 0.0 Bohr magnetons per cell
Energy above the most stable polymorph in this dataset = 0.0000 eV/atom
Formation energy from raw total energies = -0.33 eV/atom

```
BiAsNF2
1.0
4.3288 0.0000 0.0000
0.0000 4.3288 0.0000
0.0000 0.0000 4.1020
Bi As N F
1 1 1 2
Direct
0.0000 0.0000 0.0000
0.5000 0.5000 0.5000
0.5000 0.5000 0.0000
0.0000 0.5000 0.5000
0.5000 0.0000 0.5000
```

---

DFT (PBE) results for a relaxed BiAsNF2 crystal.

Magnetization = 1.3 Bohr magnetons per cell
Energy above the most stable polymorph in this dataset = 0.1890 eV/atom
Formation energy from raw total energies = -0.14 eV/atom

```
BiAsNF2
1.0
4.4585 0.0000 0.0000
0.0000 4.4585 0.0000
0.0000 0.0000 4.7852
Bi As N F
1 1 1 2
Direct
0.0000 0.0000 0.0000
0.5000 0.5000 0.5000
0.0000 0.0000 0.5000
0.0000 0.5000 0.0000
0.5000 0.0000 0.0000
```

---

DFT (PBE) results for a relaxed BiAsN2F crystal.

Magnetization = 0.0 Bohr magnetons per cell
Energy above the most stable polymorph in this dataset = 0.6340 eV/atom
Formation energy from raw total energies = 1.00 eV/atom

```
BiAsN2F
1.0
4.3755 0.0000 0.0000
0.0000 4.3755 0.0000
0.0000 0.0000 4.2778
Bi As N F
1 1 2 1
Direct
0.0000 0.0000 0.0000
0.5000 0.5000 0.5000
0.0000 0.5000 0.0000
0.5000 0.0000 0.0000
0.0000 0.0000 0.5000
```

---

DFT (PBE) results for a relaxed BiAsN2F crystal.

Magnetization = 0.0 Bohr magnetons per cell
Energy above the most stable polymorph in this dataset = 0.0000 eV/atom
Formation energy from raw total energies = 0.37 eV/atom

```
BiAsN2F
1.0
4.0811 0.0000 0.0000
0.0000 4.0811 0.0000
0.0000 0.0000 3.9711
Bi As N F
1 1 2 1
Direct
0.0000 0.0000 0.0000
0.5000 0.5000 0.5000
0.0000 0.5000 0.5000
0.5000 0.0000 0.5000
0.5000 0.5000 0.0000
```

---

DFT (PBE) results for a relaxed NaBiAsF2 crystal.

Magnetization = 0.1 Bohr magnetons per cell
Formation energy from raw total energies = -0.69 eV/atom

```
NaBiAsF2
1.0
4.2241 0.0000 0.0000
0.0000 4.2241 0.0000
0.0000 0.0000 6.4771
Na Bi As F
1 1 1 2
Direct
0.0000 0.0000 0.0000
0.5000 0.5000 0.0000
0.0000 0.0000 0.5000
0.0000 0.5000 0.5000
0.5000 0.0000 0.5000
```

---

DFT (PBE) results for a relaxed BiAsO2F crystal.

Magnetization = 0.0 Bohr magnetons per cell
Formation energy from raw total energies = -0.77 eV/atom

```
BiAsO2F
1.0
4.1758 0.0000 0.0000
0.0000 4.1758 0.0000
0.0000 0.0000 4.1950
Bi As O F
1 1 2 1
Direct
0.0000 0.0000 0.0000
0.5000 0.5000 0.5000
0.0000 0.5000 0.5000
0.5000 0.0000 0.5000
0.5000 0.5000 0.0000
```